# 1
{
  "formula": "Li2VCdIr",
  "functional": "PBE-GGA",
  "state": "relaxed",
  "delta_e_f_ev_per_atom": 1.166,
  "volume_a3_per_fu": 89.02,
  "sg": "P4/mmm",
  "lattice_angstrom": [[4.190, 0.000, 0.000], [0.000, 4.190, 0.000], [0.000, 0.000, 5.070]],
  "species": ["Li", "Li", "V", "Cd", "Ir"],
  "frac_coords": [[0.000, 0.500, 0.000], [0.500, 0.000, 0.000], [0.000, 0.000, 0.500], [0.000, 0.000, 0.000], [0.500, 0.500, 0.500]]
}

***

# 2
{
  "formula": "LiYCdIr",
  "functional": "PBE-GGA",
  "state": "relaxed",
  "delta_e_f_ev_per_atom": -0.393,
  "volume_a3_per_fu": 76.91,
  "sg": "F-43m",
  "lattice_angstrom": [[0.000, 3.375, 3.375], [3.375, 0.000, 3.375], [3.375, 3.375, 0.000]],
  "species": ["Li", "Y", "Cd", "Ir"],
  "frac_coords": [[0.000, 0.000, 0.000], [0.750, 0.750, 0.750], [0.250, 0.250, 0.250], [0.500, 0.500, 0.500]]
}

***

# 3
{
  "formula": "LuCdIr4",
  "functional": "PBE-GGA",
  "state": "relaxed",
  "delta_e_f_ev_per_atom": -0.370,
  "volume_a3_per_fu": 104.66,
  "sg": "F-43m",
  "lattice_angstrom": [[0.000, 3.740, 3.740], [3.740, 0.000, 3.740], [3.740, 3.740, 0.000]],
  "species": ["Lu", "Cd", "Ir", "Ir", "Ir", "Ir"],
  "frac_coords": [[0.000, 0.000, 0.000], [0.750, 0.750, 0.750], [0.375, 0.375, 0.375], [0.375, 0.375, 0.874], [0.375, 0.874, 0.375], [0.874, 0.375, 0.375]]
}

***

Repeat the second record exactly.
{
  "formula": "LiYCdIr",
  "functional": "PBE-GGA",
  "state": "relaxed",
  "delta_e_f_ev_per_atom": -0.393,
  "volume_a3_per_fu": 76.91,
  "sg": "F-43m",
  "lattice_angstrom": [[0.000, 3.375, 3.375], [3.375, 0.000, 3.375], [3.375, 3.375, 0.000]],
  "species": ["Li", "Y", "Cd", "Ir"],
  "frac_coords": [[0.000, 0.000, 0.000], [0.750, 0.750, 0.750], [0.250, 0.250, 0.250], [0.500, 0.500, 0.500]]
}